CeGa2Pd4: optimized geometry, PBE.

Output
* Fermi-level density of states: 0.942 states/eV per atom
* space group: Pnma (62)
* energy of formation from the pure elements: -0.724 eV/atom
* magnetization: 0.0718 μB/atom
* volume: 486 Å³/cell
* energy: -151.317 eV per cell

Unit cell a=16.834 b=4.307 c=6.708 alpha=90.00 beta=90.00 gamma=90.00
Positions (direct):
Ce 0.139 0.250 0.083
Ce 0.361 0.750 0.583
Ce 0.639 0.250 0.417
Ce 0.861 0.750 0.917
Ga 0.061 0.750 0.736
Ga 0.204 0.250 0.626
Ga 0.296 0.750 0.126
Ga 0.439 0.250 0.236
Ga 0.561 0.750 0.764
Ga 0.704 0.250 0.874
Ga 0.796 0.750 0.374
Ga 0.939 0.250 0.264
Pd 0.025 0.750 0.135
Pd 0.059 0.250 0.495
Pd 0.170 0.750 0.398
Pd 0.212 0.750 0.822
Pd 0.288 0.250 0.322
Pd 0.330 0.250 0.898
Pd 0.441 0.750 0.995
Pd 0.475 0.250 0.635
Pd 0.525 0.750 0.365
Pd 0.559 0.250 0.005
Pd 0.670 0.750 0.102
Pd 0.712 0.750 0.678
Pd 0.788 0.250 0.178
Pd 0.830 0.250 0.602
Pd 0.941 0.750 0.505
Pd 0.975 0.250 0.865

=====

CeGa3Pd2: optimized geometry, PBE.

Output
* Fermi-level density of states: 0.999 states/eV per atom
* space group: Immm (71)
* energy of formation from the pure elements: -0.633 eV/atom
* magnetization: 0.0764 μB/atom
* volume: 228 Å³/cell
* energy: -58.397 eV per cell

Unit cell a=8.165 b=8.165 c=8.165 alpha=149.45 beta=123.70 gamma=65.42
Positions (direct):
Ce 0.134 0.134 0.000
Ce 0.866 0.866 0.000
Ga 0.127 0.328 0.799
Ga 0.342 0.000 0.342
Ga 0.471 0.672 0.799
Ga 0.529 0.328 0.201
Ga 0.658 0.000 0.658
Ga 0.873 0.672 0.201
Pd 0.176 0.500 0.676
Pd 0.307 0.807 0.500
Pd 0.693 0.193 0.500
Pd 0.824 0.500 0.324

=====

Ce2Ga5Pd: optimized geometry, PBE.

Output
* Fermi-level density of states: 1.464 states/eV per atom
* space group: I4mm (107)
* energy of formation from the pure elements: -0.514 eV/atom
* magnetization: 0.1444 μB/atom
* volume: 170 Å³/cell
* energy: -36.309 eV per cell

Unit cell a=6.226 b=6.226 c=6.226 alpha=120.26 beta=120.26 gamma=89.56
Positions (direct):
Ce 0.000 0.500 0.500
Ce 0.500 0.000 0.500
Ga 0.039 0.039 0.575
Ga 0.039 0.464 0.000
Ga 0.464 0.039 0.000
Ga 0.464 0.464 0.425
Ga 0.482 0.482 0.000
Pd 0.768 0.768 0.000

=====

Ce4Ga16Pd3: optimized geometry, PBE.

Output
* Fermi-level density of states: 0.836 states/eV per atom
* space group: P4/mmm (123)
* energy of formation from the pure elements: -0.592 eV/atom
* magnetization: 0.0827 μB/atom
* volume: 442 Å³/cell
* energy: -101.366 eV per cell

Unit cell a=6.276 b=6.276 c=11.223 alpha=90.00 beta=90.00 gamma=90.00
Positions (direct):
Ce 0.000 0.500 0.190
Ce 0.000 0.500 0.810
Ce 0.500 0.000 0.190
Ce 0.500 0.000 0.810
Ga 0.000 0.000 0.200
Ga 0.000 0.000 0.800
Ga 0.211 0.211 0.000
Ga 0.211 0.789 0.000
Ga 0.245 0.245 0.377
Ga 0.245 0.245 0.623
Ga 0.245 0.755 0.377
Ga 0.245 0.755 0.623
Ga 0.500 0.500 0.231
Ga 0.500 0.500 0.769
Ga 0.755 0.245 0.377
Ga 0.755 0.245 0.623
Ga 0.755 0.755 0.377
Ga 0.755 0.755 0.623
Ga 0.789 0.211 0.000
Ga 0.789 0.789 0.000
Pd 0.000 0.500 0.500
Pd 0.500 0.000 0.500
Pd 0.500 0.500 0.000

=====

CeGa3Pd3: optimized geometry, PBE.

Output
* Fermi-level density of states: 1.005 states/eV per atom
* space group: P6_3/m (176)
* energy of formation from the pure elements: -0.525 eV/atom
* magnetization: 0.0785 μB/atom
* volume: 259 Å³/cell
* energy: -68.537 eV per cell

Unit cell a=8.015 b=8.015 c=4.651 alpha=90.00 beta=90.00 gamma=120.00
Positions (direct):
Ce 0.333 0.667 0.250
Ce 0.667 0.333 0.750
Ga 0.091 0.681 0.750
Ga 0.319 0.410 0.750
Ga 0.410 0.091 0.250
Ga 0.590 0.909 0.750
Ga 0.681 0.590 0.250
Ga 0.909 0.319 0.250
Pd 0.049 0.807 0.250
Pd 0.193 0.242 0.250
Pd 0.242 0.049 0.750
Pd 0.758 0.951 0.250
Pd 0.807 0.758 0.750
Pd 0.951 0.193 0.750

=====

Ce3Ga3Pd2: optimized geometry, PBE.

Output
* Fermi-level density of states: 2.039 states/eV per atom
* space group: Pnma (62)
* energy of formation from the pure elements: -0.664 eV/atom
* magnetization: 0.2463 μB/atom
* volume: 703 Å³/cell
* energy: -170.319 eV per cell

Unit cell a=8.278 b=15.236 c=5.578 alpha=90.00 beta=90.00 gamma=90.00
Positions (direct):
Ce 0.043 0.108 0.123
Ce 0.043 0.392 0.123
Ce 0.179 0.250 0.627
Ce 0.321 0.750 0.127
Ce 0.457 0.608 0.623
Ce 0.457 0.892 0.623
Ce 0.543 0.108 0.377
Ce 0.543 0.392 0.377
Ce 0.679 0.250 0.873
Ce 0.821 0.750 0.373
Ce 0.957 0.608 0.877
Ce 0.957 0.892 0.877
Ga 0.171 0.750 0.630
Ga 0.190 0.036 0.608
Ga 0.190 0.464 0.608
Ga 0.310 0.536 0.108
Ga 0.310 0.964 0.108
Ga 0.329 0.250 0.130
Ga 0.671 0.750 0.870
Ga 0.690 0.036 0.892
Ga 0.690 0.464 0.892
Ga 0.810 0.536 0.392
Ga 0.810 0.964 0.392
Ga 0.829 0.250 0.370
Pd 0.095 0.609 0.373
Pd 0.095 0.891 0.373
Pd 0.405 0.109 0.873
Pd 0.405 0.391 0.873
Pd 0.595 0.609 0.127
Pd 0.595 0.891 0.127
Pd 0.905 0.109 0.627
Pd 0.905 0.391 0.627

=====

CePmGa2Pd5: optimized geometry, PBE.

Output
* Fermi-level density of states: 1.025 states/eV per atom
* space group: P4/mmm (123)
* energy of formation from the pure elements: -0.779 eV/atom
* magnetization: 0.0317 μB/atom
* volume: 168 Å³/cell
* energy: -49.717 eV per cell

Unit cell a=4.271 b=4.271 c=9.232 alpha=90.00 beta=90.00 gamma=90.00
Positions (direct):
Ce 0.000 0.000 0.000
Pm 0.000 0.000 0.500
Ga 0.500 0.500 0.363
Ga 0.500 0.500 0.637
Pd 0.000 0.500 0.219
Pd 0.000 0.500 0.781
Pd 0.500 0.000 0.219
Pd 0.500 0.000 0.781
Pd 0.500 0.500 0.000

=====

Ce2PmGa2Pd2: optimized geometry, PBE.

Output
* Fermi-level density of states: 0.836 states/eV per atom
* space group: R-3m (166)
* energy of formation from the pure elements: -0.679 eV/atom
* magnetization: 0.0000 μB/atom
* volume: 151 Å³/cell
* energy: -37.810 eV per cell

Unit cell a=9.028 b=9.028 c=9.028 alpha=28.82 beta=28.82 gamma=28.82
Positions (direct):
Ce 0.140 0.140 0.140
Ce 0.860 0.860 0.860
Pm 0.000 0.000 0.000
Ga 0.263 0.263 0.263
Ga 0.737 0.737 0.737
Pd 0.419 0.419 0.419
Pd 0.581 0.581 0.581

=====

CePr2Ga4Pd3: optimized geometry, PBE.

Output
* Fermi-level density of states: 1.218 states/eV per atom
* space group: P-4m2 (115)
* energy of formation from the pure elements: -0.662 eV/atom
* magnetization: 0.0561 μB/atom
* volume: 217 Å³/cell
* energy: -49.799 eV per cell

Unit cell a=4.326 b=4.326 c=11.617 alpha=90.00 beta=90.00 gamma=90.00
Positions (direct):
Ce 0.000 0.000 0.000
Pr 0.000 0.500 0.725
Pr 0.500 0.000 0.275
Ga 0.000 0.000 0.500
Ga 0.000 0.500 0.173
Ga 0.500 0.000 0.827
Ga 0.500 0.500 0.500
Pd 0.000 0.500 0.384
Pd 0.500 0.000 0.616
Pd 0.500 0.500 0.000

=====

Ce2PrGa2Pd2: optimized geometry, PBE.

Output
* Fermi-level density of states: 0.742 states/eV per atom
* space group: R-3m (166)
* energy of formation from the pure elements: -0.680 eV/atom
* magnetization: 0.0000 μB/atom
* volume: 154 Å³/cell
* energy: -37.847 eV per cell

Unit cell a=9.110 b=9.110 c=9.110 alpha=28.64 beta=28.64 gamma=28.64
Positions (direct):
Ce 0.141 0.141 0.141
Ce 0.859 0.859 0.859
Pr 0.000 0.000 0.000
Ga 0.261 0.261 0.261
Ga 0.739 0.739 0.739
Pd 0.422 0.422 0.422
Pd 0.578 0.578 0.578

=====

CePr2Ga3Pd4: optimized geometry, PBE.

Output
* Fermi-level density of states: 0.930 states/eV per atom
* space group: P-4m2 (115)
* energy of formation from the pure elements: -0.743 eV/atom
* magnetization: 0.0466 μB/atom
* volume: 213 Å³/cell
* energy: -52.779 eV per cell

Unit cell a=4.408 b=4.408 c=10.968 alpha=90.00 beta=90.00 gamma=90.00
Positions (direct):
Ce 0.000 0.000 0.000
Pr 0.000 0.500 0.726
Pr 0.500 0.000 0.274
Ga 0.000 0.500 0.382
Ga 0.500 0.000 0.618
Ga 0.500 0.500 0.000
Pd 0.000 0.000 0.500
Pd 0.000 0.500 0.155
Pd 0.500 0.000 0.845
Pd 0.500 0.500 0.500

=====

CeGa2PdPt5: optimized geometry, PBE.

Output
* Fermi-level density of states: 0.438 states/eV per atom
* space group: P4/mmm (123)
* energy of formation from the pure elements: -0.606 eV/atom
* magnetization: 0.0000 μB/atom
* volume: 159 Å³/cell
* energy: -52.842 eV per cell

Unit cell a=4.035 b=4.035 c=9.790 alpha=90.00 beta=90.00 gamma=90.00
Positions (direct):
Ce 0.000 0.000 0.000
Ga 0.500 0.500 0.377
Ga 0.500 0.500 0.623
Pd 0.000 0.000 0.500
Pt 0.000 0.500 0.222
Pt 0.000 0.500 0.778
Pt 0.500 0.000 0.222
Pt 0.500 0.000 0.778
Pt 0.500 0.500 0.000